VASP calculation (GGA-PBEsol) on crystalline RbNb2CdF at its relaxed geometry.

a b c (Å): 4.406 4.406 5.159
angles (deg): 90.00 90.00 90.00
Space group P4/mmm (No. 123)
Inequivalent atoms, fractional coordinates:
Rb 0.000 0.000 0.000 (multiplicity 1)
Nb 0.000 0.500 0.500 (multiplicity 2)
Cd 0.500 0.500 0.000 (multiplicity 1)
F 0.000 0.000 0.500 (multiplicity 1)

Values from the calculation:
* energy relative to the elements, uncorrected: 0.41 eV/atom